Compound: LiTaAu2
Source: Alexandria
Functional: PBE
Structure: relaxed

a = 2.913 Å, b = 2.913 Å, c = 28.756 Å
α = 90.00°, β = 90.00°, γ = 120.00°
Fractional positions:
Li  0.000  0.000  0.000
Li  0.333  0.667  0.667
Li  0.667  0.333  0.333
Ta  0.000  0.000  0.244
Ta  0.333  0.667  0.910
Ta  0.667  0.333  0.577
Au  0.000  0.000  0.496
Au  0.000  0.000  0.742
Au  0.333  0.667  0.162
Au  0.333  0.667  0.408
Au  0.667  0.333  0.075
Au  0.667  0.333  0.829

Properties
**Space group**: R3m, No. 160
**Size of the total moment**: 0.00 μB per atom
**Energy of formation from the pure elements**: 0.025 eV per atom